A relaxed structure of Pt2AuBr8, computed with GGA-PBE.

## Properties
Crystal system: monoclinic
Raw formation energy (eV per atom): -0.09
Symmetry: C2/m (12)

a b c (Å): 8.5430 7.3089 10.6643
angles (deg): 118.31 90.00 125.76
Last column: magnetic moment on the atom in μB.
Sites, in units of the cell vectors:
Br 0.3508 0.7017 0.5424  0.01
Br 0.8534 0.1047 0.1974  0.04
Br 0.1466 0.8953 0.8026  0.04
Br 0.6492 0.2983 0.4576  0.01
Br 0.2513 0.1047 0.1974  0.04
Br 0.8543 0.7086 0.3229  0.02
Br 0.7487 0.8953 0.8026  0.04
Br 0.1457 0.2914 0.6771  0.02
Pt 0.8977 0.7953 0.5778  0.14
Pt 0.1023 0.2047 0.4222  0.14
Au 0.0000 0.0000 0.0000  0.00

---

A relaxed structure of SnBiSb2, computed with GGA-PBE.

## Properties
Crystal system: cubic
Raw formation energy (eV per atom): 0.17
Symmetry: Fm-3m (225)

a b c (Å): 5.4612 5.4612 5.4612
angles (deg): 60.00 60.00 60.00
Sites, in units of the cell vectors:
Sb 0.2500 0.2500 0.2500
Sb 0.7500 0.7500 0.7500
Bi 0.5000 0.5000 0.5000
Sn 0.0000 0.0000 0.0000

---

A relaxed structure of Ac12LaCo5, computed with GGA-PBE.

## Properties
Energy of formation (meV per atom): 44
Crystal system: triclinic
Symmetry: P1 (1)

a b c (Å): 7.3971 7.4078 13.8503
angles (deg): 95.01 100.08 60.04
Sites, in units of the cell vectors:
Co 0.3339 0.3330 0.0000
Co 0.6660 0.6685 0.0000
Co 0.8342 0.3315 0.5000
Co 0.5000 0.9999 0.5000
Co 0.1658 0.6684 0.5000
Ac 0.1296 0.3273 0.3885
Ac 0.8704 0.6725 0.6116
Ac 0.4569 0.6726 0.3884
Ac 0.4625 0.0003 0.1333
Ac 0.5375 0.0002 0.8664
Ac 0.5431 0.3273 0.6115
Ac 0.6263 0.4185 0.1330
Ac 0.1979 0.0000 0.6127
Ac 0.3735 0.5821 0.8666
Ac 0.8020 0.0000 0.3872
Ac 0.0446 0.5817 0.1335
Ac 0.9556 0.4181 0.8671
La 0.0003 0.9983 0.0003

---

| no. | total moment (μB per atom) |
| --- | --- |
| 1 | 0.051 |
| 2 | 0.000 |
| 3 | 0.000 |